1.
# TaAlIn2 (PBE, optimized geometry)
# ΔE_f: 0.192 eV/atom
data_TaAlIn2
_cell_length_a 10.405
_cell_length_b 2.987
_cell_length_c 5.255
_cell_angle_alpha 90.00
_cell_angle_beta 97.24
_cell_angle_gamma 90.00
_space_group_name_H-M_alt 'C 1 m 1'
_space_group_IT_number 8
loop_
_space_group_symop_operation_xyz
'x,y,z'
'x,-y,z'
'x+1/2,y+1/2,z'
'x+1/2,-y+1/2,z'
loop_
_atom_site_label
_atom_site_type_symbol
_atom_site_fract_x
_atom_site_fract_y
_atom_site_fract_z
Ta1 Ta 0.000 0.000 0.000
Al1 Al 0.227 0.500 0.215
In1 In 0.254 0.000 0.755
In2 In 0.489 0.000 0.488

---

2.
# Sm4CSeS2 (PBE, optimized geometry)
# Formation energy without anion corrections: -1.5579 eV/atom
data_Sm4CSeS2
_cell_length_a 6.878
_cell_length_b 3.943
_cell_length_c 7.049
_cell_angle_alpha 90.00
_cell_angle_beta 108.94
_cell_angle_gamma 90.00
_space_group_name_H-M_alt 'P 1 2/m 1'
_space_group_IT_number 10
loop_
_space_group_symop_operation_xyz
'x,y,z'
'-x,-y,-z'
'-x,y,-z'
'x,-y,z'
loop_
_atom_site_label
_atom_site_type_symbol
_atom_site_fract_x
_atom_site_fract_y
_atom_site_fract_z
Sm1 Sm 0.225 0.000 0.218
Sm2 Sm 0.239 0.500 0.779
C1 C 0.000 0.500 0.000
Se1 Se 0.000 0.000 0.500
S1 S 0.500 0.000 0.000
S2 S 0.500 0.500 0.500